Compound: Cd4OF5
Source: Alexandria
Functional: PBE
Structure: relaxed

The structure in extended XYZ format:
```
10
Lattice="7.4546 -1.7874 0.0000 7.4546 1.7874 0.0000 -2.6774 0.0000 5.7330" Properties=species:S:1:pos:R:3 pbc="T T T"
Cd 14.2551 0.0000 1.3955
Cd -2.0233 0.0000 4.3375
Cd 2.4207 0.0000 4.6266
Cd 9.8111 0.0000 1.1063
O 7.4546 0.0000 0.0000
F 1.4553 0.0000 2.4049
F 0.0989 0.0000 5.3150
F 6.1159 0.0000 2.8665
F 12.1329 0.0000 0.4180
F 10.7765 0.0000 3.3281
```

## Properties
As for the uncorrected formation energy: -171.7 kJ per mole of atoms. For the density of states at the Fermi level, the calculation gives 0.75 states/eV/cell. The value obtained for the magnetization is 0.00 μB/cell. As for the crystal system: monoclinic.

=====

Compound: CdOF3
Source: Alexandria
Functional: PBE
Structure: relaxed

The structure in extended XYZ format:
```
5
Lattice="4.3341 0.0000 0.0000 0.0000 4.3341 0.0000 0.0000 0.0000 4.3341" Properties=species:S:1:pos:R:3 pbc="T T T"
Cd 0.0000 0.0000 0.0000
O 2.1670 2.1670 2.1670
F 0.0000 0.0000 2.1670
F 0.0000 2.1670 0.0000
F 2.1670 0.0000 0.0000
```

## Properties
As for the uncorrected formation energy: -65.3 kJ per mole of atoms. For the density of states at the Fermi level, the calculation gives 4.89 states/eV/cell. The value obtained for the magnetization is 2.65 μB/cell. As for the crystal system: cubic.

=====

Compound: CdO6F12
Source: Alexandria
Functional: PBE
Structure: relaxed

The structure in extended XYZ format:
```
19
Lattice="4.8009 2.7718 3.6309 -4.8009 2.7718 3.6309 0.0000 -5.5436 3.6309" Properties=species:S:1:pos:R:3 pbc="T T T"
Cd 0.0000 0.0000 0.0000
O -1.9877 1.0253 3.2894
O 0.1059 -2.2341 3.2894
O -1.8818 -1.2088 7.6033
O 1.8818 1.2087 3.2894
O -0.1059 2.2341 7.6032
O 1.9877 -1.0253 7.6032
F -3.7982 -1.1447 6.0440
F -0.9078 -3.8616 4.8487
F -1.8768 -0.1017 4.0503
F -2.8904 2.7170 4.8487
F 1.0265 -1.5745 4.0503
F -0.8503 -1.6762 6.8424
F 0.8503 1.6763 4.0503
F -1.0265 1.5745 6.8424
F 2.8904 -2.7170 6.0440
F 1.8768 0.1017 6.8424
F 0.9078 3.8616 6.0440
F 3.7982 1.1447 4.8487
```

## Properties
As for the uncorrected formation energy: -4.4 kJ per mole of atoms. For the density of states at the Fermi level, the calculation gives 7.15 states/eV/cell. The value obtained for the magnetization is 10.00 μB/cell. As for the crystal system: trigonal.

=====

Compound: CdOsO2F
Source: Alexandria
Functional: PBE
Structure: relaxed

The structure in extended XYZ format:
```
5
Lattice="4.2125 0.0000 0.0000 0.0000 4.2125 0.0000 0.0000 0.0000 4.2353" Properties=species:S:1:pos:R:3 pbc="T T T"
Cd 0.0000 0.0000 0.0000
Os 2.1062 2.1062 2.1177
O 0.0000 2.1062 0.0000
O 2.1062 0.0000 0.0000
F 0.0000 0.0000 2.1177
```

## Properties
As for the uncorrected formation energy: 60.6 kJ per mole of atoms. For the density of states at the Fermi level, the calculation gives 2.68 states/eV/cell. The value obtained for the magnetization is 4.62 μB/cell. As for the crystal system: tetragonal.

=====

Compound: CdOsO2F
Source: Alexandria
Functional: PBE
Structure: relaxed

The structure in extended XYZ format:
```
5
Lattice="3.6706 0.0000 0.0000 0.0000 3.6706 0.0000 0.0000 0.0000 7.5038" Properties=species:S:1:pos:R:3 pbc="T T T"
Cd 0.0000 0.0000 0.0000
Os 1.8353 1.8353 3.7519
O 0.0000 1.8353 3.7519
O 1.8353 0.0000 3.7519
F 1.8353 1.8353 0.0000
```

## Properties
As for the uncorrected formation energy: -83.9 kJ per mole of atoms. For the density of states at the Fermi level, the calculation gives 1.17 states/eV/cell. The value obtained for the magnetization is 0.00 μB/cell. As for the crystal system: tetragonal.

=====

Compound: CdOsO4F
Source: Alexandria
Functional: PBE
Structure: relaxed

The structure in extended XYZ format:
```
14
Lattice="4.1857 -3.8935 0.0000 4.1857 3.8935 0.0000 -1.9979 0.0000 7.0930" Properties=species:S:1:pos:R:3 pbc="T T T"
Cd 1.1225 0.0000 1.3408
Cd 5.2510 0.0000 5.7522
Os 1.3530 0.0000 5.2257
Os 5.0205 0.0000 1.8673
O 1.1518 1.5700 5.9941
O 0.5924 0.0000 3.6192
O 5.2217 1.5700 1.0990
O 3.2639 0.0000 2.1587
O 3.1096 0.0000 4.9343
O 1.1518 -1.5700 5.9941
O 5.7811 0.0000 3.4738
O 5.2217 -1.5700 1.0990
F -0.9137 0.0000 6.1399
F 7.2873 0.0000 0.9532
```

## Properties
As for the uncorrected formation energy: -109.4 kJ per mole of atoms. For the density of states at the Fermi level, the calculation gives 2.59 states/eV/cell. The value obtained for the magnetization is 2.08 μB/cell. As for the crystal system: monoclinic.

=====

Compound: CdOsOF2
Source: Alexandria
Functional: PBE
Structure: relaxed

The structure in extended XYZ format:
```
5
Lattice="4.5013 0.0000 0.0000 0.0000 4.5013 0.0000 0.0000 0.0000 3.6952" Properties=species:S:1:pos:R:3 pbc="T T T"
Cd 0.0000 0.0000 0.0000
Os 2.2507 2.2507 1.8476
O 2.2507 2.2507 0.0000
F 0.0000 2.2507 1.8476
F 2.2507 0.0000 1.8476
```

## Properties
As for the uncorrected formation energy: -70.1 kJ per mole of atoms. For the density of states at the Fermi level, the calculation gives 3.63 states/eV/cell. The value obtained for the magnetization is 0.00 μB/cell. As for the crystal system: tetragonal.

=====

Compound: CdOsOF2
Source: Alexandria
Functional: PBE
Structure: relaxed

The structure in extended XYZ format:
```
5
Lattice="4.2565 0.0000 0.0000 0.0000 4.2565 0.0000 0.0000 0.0000 4.4692" Properties=species:S:1:pos:R:3 pbc="T T T"
Cd 0.0000 0.0000 0.0000
Os 2.1283 2.1283 2.2346
O 0.0000 0.0000 2.2346
F 0.0000 2.1283 0.0000
F 2.1283 0.0000 0.0000
```

## Properties
As for the uncorrected formation energy: 16.8 kJ per mole of atoms. For the density of states at the Fermi level, the calculation gives 4.50 states/eV/cell. The value obtained for the magnetization is 4.25 μB/cell. As for the crystal system: tetragonal.

=====

Compound: Cd2PO4F
Source: Alexandria
Functional: PBE
Structure: relaxed

The structure in extended XYZ format:
```
32
Lattice="7.0849 -3.4031 0.0000 7.0849 3.4031 0.0000 -5.6202 0.0000 9.1814" Properties=species:S:1:pos:R:3 pbc="T T T"
Cd 3.4454 1.7763 4.7013
Cd 3.9778 0.6626 1.3997
Cd 2.2941 1.7763 9.0708
Cd 1.1677 -0.6626 5.9904
Cd 7.3820 0.6626 3.1910
Cd 6.2555 -1.7763 0.1106
Cd 4.5719 -0.6626 7.7817
Cd 5.1043 -1.7763 4.4801
P 0.7805 0.6055 2.8017
P -2.0296 -0.6055 7.3924
P 10.5792 0.6055 1.7890
P 7.7691 -0.6055 6.3796
O 0.4332 0.2302 1.3322
O -2.3924 0.5603 8.3586
O -2.3769 -0.2302 5.9229
O 1.5430 1.5640 5.9600
O 2.2913 0.9569 2.8998
O 0.4177 -0.5603 3.7680
O 4.1965 1.5640 7.8120
O -0.5188 -0.9569 7.4904
O 9.0685 0.9569 1.6909
O 4.3531 -1.5640 1.3693
O 8.1320 0.5603 5.4134
O 6.2584 -0.9569 6.2816
O 7.0066 -1.5640 3.2214
O 10.9265 0.2302 3.2585
O 10.9421 -0.5603 0.8227
O 8.1164 -0.2302 7.8492
F 6.2827 0.5603 1.0069
F 5.0770 0.5603 3.5838
F 3.4726 -0.5603 5.5976
F 2.2669 -0.5603 8.1745
```

## Properties
As for the uncorrected formation energy: -186.1 kJ per mole of atoms. For the density of states at the Fermi level, the calculation gives 0.00 states/eV/cell. The value obtained for the magnetization is 0.00 μB/cell. As for the crystal system: monoclinic.

=====

Compound: CdPO2F
Source: Alexandria
Functional: PBE
Structure: relaxed

The structure in extended XYZ format:
```
5
Lattice="3.7956 0.0000 0.0000 0.0000 3.7956 0.0000 0.0000 0.0000 4.1845" Properties=species:S:1:pos:R:3 pbc="T T T"
Cd 0.0000 0.0000 0.0000
P 1.8978 1.8978 2.0923
O 0.0000 1.8978 2.0923
O 1.8978 0.0000 2.0923
F 1.8978 1.8978 0.0000
```

## Properties
As for the uncorrected formation energy: -85.8 kJ per mole of atoms. For the density of states at the Fermi level, the calculation gives 1.29 states/eV/cell. The value obtained for the magnetization is 0.00 μB/cell. As for the crystal system: tetragonal.

=====

Compound: CdP2OF
Source: Alexandria
Functional: PBE
Structure: relaxed

The structure in extended XYZ format:
```
5
Lattice="4.0082 0.0000 0.0000 0.0000 4.0082 0.0000 0.0000 0.0000 4.8653" Properties=species:S:1:pos:R:3 pbc="T T T"
Cd 0.0000 0.0000 0.0000
P 0.0000 2.0041 2.4326
P 2.0041 0.0000 2.4326
O 2.0041 2.0041 0.0000
F 2.0041 2.0041 2.4326
```

## Properties
As for the uncorrected formation energy: 54.3 kJ per mole of atoms. For the density of states at the Fermi level, the calculation gives 2.88 states/eV/cell. The value obtained for the magnetization is 0.00 μB/cell. As for the crystal system: tetragonal.

=====

Compound: CdP2OF
Source: Alexandria
Functional: PBE
Structure: relaxed

The structure in extended XYZ format:
```
5
Lattice="5.0059 0.0000 0.0000 0.0000 5.0059 0.0000 0.0000 0.0000 4.0806" Properties=species:S:1:pos:R:3 pbc="T T T"
Cd 0.0000 0.0000 0.0000
P 0.0000 2.5029 0.0000
P 2.5029 0.0000 0.0000
O 0.0000 0.0000 2.0403
F 2.5029 2.5029 2.0403
```

## Properties
As for the uncorrected formation energy: 87.0 kJ per mole of atoms. For the density of states at the Fermi level, the calculation gives 4.24 states/eV/cell. The value obtained for the magnetization is 0.00 μB/cell. As for the crystal system: tetragonal.

=====

Among the records above, which one has the highest magnetization?
CdO6F12

=====

magnetization of number 12 (CdP2OF)?
0.00 μB/cell

=====

Look up the magnetization of the eighth one.
4.25 μB/cell

=====

The highest uncorrected formation energy belongs to which entry?
number 12